(1)
Computed, not measured: a geometry-optimized ScMnZn17 structure at the GGA-PBE level of DFT.

```
data_ScMnZn17
_chemical_formula_sum 'Sc3 Mn3 Zn51'
_space_group_name_H-M_alt 'R 3 m'
_space_group_IT_number 160
_space_group_name_Hall 'R 3 -2"'
_cell_length_a 8.8044
_cell_length_b 8.8044
_cell_length_c 13.2131
_cell_angle_alpha 90.00
_cell_angle_beta 90.00
_cell_angle_gamma 120.00
loop_
_atom_site_label
_atom_site_fract_x
_atom_site_fract_y
_atom_site_fract_z
Sc1 0.0000 0.0000 0.0000
Mn1 0.0000 0.0000 0.2770
Zn1 0.0000 0.0000 0.5610
Zn2 0.0000 0.0000 0.7629
Zn3 0.0070 0.5035 0.8180
Zn4 0.0236 0.3479 0.3307
Zn5 0.1708 0.3416 0.5030
Zn6 0.1725 0.3451 0.8384
```

Output
- Density: 6806 kg/m3
- DOS(E_F): 17.4 states/eV per cell
- Calculated volume: 887.0 Å³ per cell
- E_form: -34 meV per atom



(2)
Computed, not measured: a geometry-optimized InSiAu4 structure at the GGA-PBE level of DFT.

```
data_InSiAu4
_chemical_formula_sum 'In2 Si2 Au8'
_space_group_name_H-M_alt 'P -1'
_space_group_IT_number 2
_cell_length_a 4.985
_cell_length_b 6.677
_cell_length_c 7.517
_cell_angle_alpha 94.48
_cell_angle_beta 101.71
_cell_angle_gamma 92.38
loop_
_space_group_symop_operation_xyz
'x,y,z'
'-x,-y,-z'
loop_
_atom_site_label
_atom_site_fract_x
_atom_site_fract_y
_atom_site_fract_z
In1 0.198 0.164 0.427
Si1 0.312 0.263 0.067
Au1 0.009 0.749 0.250
Au2 0.158 0.686 0.881
Au3 0.492 0.048 0.802
Au4 0.497 0.532 0.315
```

Output
- Density: 12678 kg/m3
- DOS(E_F): 2.6 states/eV per cell
- Calculated volume: 243.8 Å³ per cell
- ΔE_f (raw): 0.00 eV/atom



(3)
Computed, not measured: a geometry-optimized Fe5Tc structure at the GGA-PBE level of DFT.

```
data_Fe5Tc
_chemical_formula_sum 'Fe5 Tc1'
_space_group_name_H-M_alt 'P 6/m m m'
_space_group_IT_number 191
_space_group_name_Hall '-P 6 2'
_cell_length_a 4.6112
_cell_length_b 4.6112
_cell_length_c 3.9339
_cell_angle_alpha 90.00
_cell_angle_beta 90.00
_cell_angle_gamma 120.00
loop_
_atom_site_label
_atom_site_fract_x
_atom_site_fract_y
_atom_site_fract_z
Fe1 0.0000 0.5000 0.0000
Fe2 0.3333 0.6667 0.5000
Tc1 0.0000 0.0000 0.5000
```

Output
- Density: 8647 kg/m3
- DOS(E_F): 5.6 states/eV per cell
- Calculated volume: 72.4 Å³ per cell
- E_form: 346 meV per atom